The following is a DFT calculation (PBE) of a geometry-optimized CeTh2CdC structure.

Computed properties:
Total moment = 0.38 μB/f.u.
Uncorrected energy = -6.3746 eV per atom
N(E_F) = 6.458 states/eV per cell

CIF file:
```
data_CeTh2CdC
_chemical_formula_sum 'Ce1 Th2 Cd1 C1'
_space_group_name_H-M_alt 'P 4/m m m'
_space_group_IT_number 123
_space_group_name_Hall '-P 4 2'
_cell_length_a 5.0858
_cell_length_b 5.0858
_cell_length_c 4.9850
_cell_angle_alpha 90.00
_cell_angle_beta 90.00
_cell_angle_gamma 90.00
loop_
_atom_site_label
_atom_site_fract_x
_atom_site_fract_y
_atom_site_fract_z
Ce1 0.0000 0.0000 0.0000
Th1 0.0000 0.5000 0.5000
Cd1 0.5000 0.5000 0.0000
C1 0.0000 0.0000 0.5000
```